8
Lattice="4.762 0.000 0.000 0.000 4.762 0.000 2.381 2.381 4.447" Properties=species:S:1:pos:R:3 comment="FeTcO2 | Alexandria | PBE+U | optimized geometry" total_magnetization_mub_per_atom=1.00 volume_a3_per_atom=12.6 polymorph_energy_mev_per_atom=263.7 pbc="T T T"
Tc 0.000 0.000 0.000
Tc 4.762 2.381 2.224
O 3.494 1.191 1.112
O 1.268 3.572 1.112
O 3.572 3.649 3.335
O 5.953 5.875 3.335
Fe 2.381 2.381 0.000
Fe 2.381 4.762 2.224